Entry 1:
The following is a PBE calculation of crystalline La3Ni at its relaxed geometry, from the Alexandria database.

Unit cell a=7.163 b=10.230 c=6.615 alpha=90.00 beta=90.00 gamma=90.00
Sites, in units of the cell vectors:
La 0.036 0.250 0.149
La 0.170 0.068 0.672
La 0.170 0.432 0.672
La 0.330 0.568 0.172
La 0.330 0.932 0.172
La 0.464 0.750 0.649
La 0.536 0.250 0.351
La 0.670 0.068 0.828
La 0.670 0.432 0.828
La 0.830 0.568 0.328
La 0.830 0.932 0.328
La 0.964 0.750 0.851
Ni 0.120 0.750 0.426
Ni 0.380 0.250 0.926
Ni 0.620 0.750 0.074
Ni 0.880 0.250 0.574

## Properties
For the energy of formation from the pure elements, the calculation gives -190 meV/atom. As for the volume: 30.29 Å³/atom. The calculation puts the total energy at -5.331 eV/atom.



Entry 2:
The following is a PBE calculation of crystalline La4Ni at its relaxed geometry, from the Alexandria database.

Unit cell a=6.865 b=6.865 c=6.865 alpha=90.00 beta=90.00 gamma=90.00
Sites, in units of the cell vectors:
La 0.250 0.250 0.250
La 0.250 0.250 0.750
La 0.250 0.750 0.250
La 0.250 0.750 0.750
La 0.750 0.250 0.250
La 0.750 0.250 0.750
La 0.750 0.750 0.250
La 0.750 0.750 0.750
Ni 0.000 0.000 0.000
Ni 0.500 0.500 0.500

## Properties
Its energy relative to the lowest polymorph listed for this composition is 249.6 meV per atom. For the energy of formation from the pure elements, the calculation gives 163 meV/atom. As for the volume: 32.35 Å³/atom. The calculation puts the total energy at -4.935 eV/atom.



Entry 3:
The following is a PBE calculation of crystalline La3Ni2 at its relaxed geometry, from the Alexandria database.

Unit cell a=7.573 b=7.573 c=7.573 alpha=72.54 beta=72.54 gamma=72.54
Sites, in units of the cell vectors:
La 0.000 0.000 0.000
La 0.170 0.672 0.385
La 0.208 0.208 0.208
La 0.328 0.615 0.830
La 0.385 0.170 0.672
La 0.615 0.830 0.328
La 0.672 0.385 0.170
La 0.792 0.792 0.792
La 0.830 0.328 0.615
Ni 0.037 0.413 0.856
Ni 0.144 0.963 0.587
Ni 0.413 0.856 0.037
Ni 0.587 0.144 0.963
Ni 0.856 0.037 0.413
Ni 0.963 0.587 0.144

## Properties
Its energy relative to the lowest polymorph listed for this composition is 0.0 meV per atom. For the energy of formation from the pure elements, the calculation gives -261 meV/atom. As for the volume: 25.64 Å³/atom. The calculation puts the total energy at -5.530 eV/atom.



Entry 4:
The following is a PBE calculation of crystalline La3Ni at its relaxed geometry, from the Alexandria database.

Unit cell a=5.882 b=3.900 c=6.169 alpha=90.00 beta=112.82 gamma=90.00
Sites, in units of the cell vectors:
La 0.000 0.000 0.000
La 0.345 0.500 0.698
La 0.655 0.500 0.302
Ni 0.000 0.000 0.500

## Properties
For the energy of formation from the pure elements, the calculation gives -33 meV/atom. As for the volume: 32.60 Å³/atom. The calculation puts the total energy at -5.173 eV/atom.



Entry 5:
The following is a PBE calculation of crystalline La3Ni5 at its relaxed geometry, from the Alexandria database.

Unit cell a=6.585 b=7.363 c=8.187 alpha=79.67 beta=66.34 gamma=63.47
Sites, in units of the cell vectors:
La 0.000 0.000 0.000
La 0.046 0.500 0.861
La 0.119 0.176 0.501
La 0.407 0.500 0.139
La 0.500 0.000 0.001
La 0.795 0.824 0.501
Ni 0.232 0.777 0.660
Ni 0.281 0.500 0.501
Ni 0.390 0.777 0.341
Ni 0.507 0.222 0.660
Ni 0.516 0.678 0.801
Ni 0.641 0.499 0.500
Ni 0.666 0.222 0.341
Ni 0.694 0.320 0.801
Ni 0.816 0.678 0.200
Ni 0.994 0.320 0.200

## Properties
Its energy relative to the lowest polymorph listed for this composition is 25.9 meV per atom. For the energy of formation from the pure elements, the calculation gives -175 meV/atom. As for the volume: 20.33 Å³/atom. The calculation puts the total energy at -5.637 eV/atom.



Entry 6:
The following is a PBE calculation of crystalline La4Ni3 at its relaxed geometry, from the Alexandria database.

Unit cell a=3.544 b=3.544 c=28.820 alpha=90.00 beta=90.00 gamma=90.00
Sites, in units of the cell vectors:
La 0.000 0.000 0.058
La 0.000 0.000 0.323
La 0.000 0.000 0.677
La 0.000 0.000 0.942
La 0.500 0.500 0.177
La 0.500 0.500 0.442
La 0.500 0.500 0.558
La 0.500 0.500 0.823
Ni 0.000 0.000 0.228
Ni 0.000 0.000 0.500
Ni 0.000 0.000 0.772
Ni 0.500 0.500 0.000
Ni 0.500 0.500 0.272
Ni 0.500 0.500 0.728

## Properties
Its energy relative to the lowest polymorph listed for this composition is 0.0 meV per atom. For the energy of formation from the pure elements, the calculation gives -97 meV/atom. As for the volume: 25.86 Å³/atom. The calculation puts the total energy at -5.391 eV/atom.